No. 1
A relaxed ScReBr crystal, computed with PBE-GGA.

Summary:
- spin magnetization (μB per cell) = 0.0
- energy relative to the elements, uncorrected (eV/atom) = 0.237
- calculated density (g cm⁻³) = 7.95
- E (eV per atom) = -6.5805
- V (Å³ per atom) = 21.66
- energy above the most stable polymorph in this dataset (meV per atom) = 61

Cell lengths 8.1111, 7.9162, 2.9946 Å; angles 82.92, 75.59, 21.49 degrees
Last column: nearest neighbours and their distance in Å.
Fractional coordinates of all 3 atoms:
1 Sc 0.0000 0.0000 0.0000  2 Re 2.66, 2 Br 2.66
2 Re 0.6319 0.6319 0.3681  2 Sc 2.66
3 Br 0.3679 0.3679 0.6321  2 Sc 2.66

---

No. 2
A relaxed La4YIn crystal, computed with PBE-GGA.

Summary:
- spin magnetization (μB per cell) = 0.0
- E_form (eV/atom) = 0.1481
- calculated density (g cm⁻³) = 6.10
- E (eV per atom) = -4.6706
- V (Å³ per atom) = 34.46
- energy above the most stable polymorph in this dataset (meV per atom) = 309

Cell lengths 6.6373, 6.6373, 6.6373 Å; angles 60.00, 60.00, 60.00 degrees
Last column: nearest neighbours and their distance in Å.
Fractional coordinates of all 6 atoms:
1 La 0.1254 0.1254 0.1254  6 La 3.31-3.33
2 La 0.1254 0.1254 0.6237  6 La 3.31-3.33
3 La 0.1254 0.6237 0.1254  6 La 3.31-3.33
4 La 0.6237 0.1254 0.1254  6 La 3.31-3.33
5 Y 0.7500 0.7500 0.7500  12 La 3.89, 4 In 4.06
6 In 0.5000 0.5000 0.5000  12 La 3.89, 4 Y 4.06

---

> calculated density of number 1 (ScReBr)?

7.95 g cm⁻³

---

> The highest V belongs to which entry?

La4YIn

---

> What is the formula in the second record?

La4YIn